BHRh3 | GGA-PBE | optimized geometry

Energy, eV per atom: -6.54

a = 6.1795 Å, b = 2.7814 Å, c = 6.2646 Å
α = 90.00°, β = 104.62°, γ = 90.00°
Closest atoms and distances in Å follow each position.
Space group P2_1/m (No. 11)
Symmetry-distinct sites (fractional):
B  0.1819  0.2500  0.2432 (multiplicity 2)  7 Rh 2.19-2.35
H  0.3342  0.7500  0.8422 (multiplicity 2)  6 Rh 1.95-2.06
Rh  0.1018  0.2500  0.8565 (multiplicity 2)  2 H 2.02, 2 B 2.20
Rh  0.2309  0.7500  0.5208 (multiplicity 2)  1 H 1.95
Rh  0.4338  0.7500  0.1825 (multiplicity 2)  3 H 2.03-2.06, 2 B 2.19

---

BH2Rh | GGA-PBE | optimized geometry

Energy, eV per atom: -4.71

a = 3.0154 Å, b = 3.0154 Å, c = 14.2327 Å
α = 90.00°, β = 90.00°, γ = 90.00°
Closest atoms and distances in Å follow each position.
Space group I4_1/amd (No. 141, origin choice 2)
Symmetry-distinct sites (fractional):
B  0.0000  0.2500  0.3750 (multiplicity 4)  4 Rh 2.13
H  0.0000  0.0000  0.0000 (multiplicity 8)  2 H 1.51
Rh  0.0000  0.2500  0.8750 (multiplicity 4)  4 H 1.93, 4 B 2.13

---

BH2Rh | GGA-PBE | optimized geometry

Energy, eV per atom: -4.27

a = 4.7408 Å, b = 4.7408 Å, c = 4.7408 Å
α = 90.00°, β = 90.00°, γ = 90.00°
Closest atoms and distances in Å follow each position.
Space group Fm-3m (No. 225)
Symmetry-distinct sites (fractional):
B  0.0000  0.0000  0.0000 (multiplicity 4)  8 H 2.05
H  0.2500  0.2500  0.2500 (multiplicity 8)  4 Rh 2.05, 4 B 2.05
Rh  0.0000  0.0000  0.5000 (multiplicity 4)  8 H 2.05

---

B5HRh8 | GGA-PBE | optimized geometry

Energy, eV per atom: -7.06

a = 6.6088 Å, b = 6.6088 Å, c = 6.9793 Å
α = 90.00°, β = 90.00°, γ = 90.00°
Closest atoms and distances in Å follow each position.
Space group I-4 (No. 82)
Symmetry-distinct sites (fractional):
B  0.0000  0.0000  0.0000 (multiplicity 2)  4 Rh 2.05
B  0.0795  0.7549  0.3798 (multiplicity 8)  4 Rh 2.07-2.11
H  0.0000  0.5000  0.7500 (multiplicity 2)  4 Rh 2.01
Rh  0.0368  0.7065  0.0877 (multiplicity 8)  3 B 2.05-2.11
Rh  0.0370  0.7902  0.6714 (multiplicity 8)  1 H 2.01, 2 B 2.07-2.08